[1]
Material: CsPIrPb
Method: DFT, PBE
State: optimized geometry

The structure in POSCAR format:
```
CsPIrPb
1.0
4.156 0.000 0.000
0.000 4.156 0.000
0.000 0.000 14.108
Cs P Ir Pb
2 2 2 2
Direct
0.750 0.750 0.239
0.250 0.250 0.761
0.750 0.750 0.915
0.250 0.250 0.085
0.750 0.250 0.000
0.250 0.750 0.000
0.250 0.750 0.500
0.750 0.250 0.500
```

Results
- calculated formation energy (kJ/mol of atoms) = -30.2


[2]
Material: CsPIrPd
Method: DFT, PBE
State: optimized geometry

The structure in POSCAR format:
```
CsPIrPd
1.0
-3.636 -1.151 -0.923
0.403 -3.136 2.324
-4.794 6.956 10.219
Cs P Ir Pd
2 2 2 2
Direct
0.750 0.750 0.280
0.250 0.250 0.720
0.750 0.750 0.902
0.250 0.250 0.098
0.750 0.250 0.000
0.250 0.750 0.000
0.250 0.750 0.500
0.750 0.250 0.500
```

Results
- calculated formation energy (kJ/mol of atoms) = -30.1


Q: The highest calculated formation energy belongs to which entry?
A: CsPIrPd


Copy entry 1 word for word.
Material: CsPIrPb
Method: DFT, PBE
State: optimized geometry

The structure in POSCAR format:
```
CsPIrPb
1.0
4.156 0.000 0.000
0.000 4.156 0.000
0.000 0.000 14.108
Cs P Ir Pb
2 2 2 2
Direct
0.750 0.750 0.239
0.250 0.250 0.761
0.750 0.750 0.915
0.250 0.250 0.085
0.750 0.250 0.000
0.250 0.750 0.000
0.250 0.750 0.500
0.750 0.250 0.500
```

Results
- calculated formation energy (kJ/mol of atoms) = -30.2